No. 1
VASP calculation (PBE-GGA) on a relaxed structure of TiCrTe2Ru.

Calculated values
formation energy (no corrections) = 0.778 eV per atom
magnetization = 0.639 μB/atom
total DFT energy (no corrections) = -29.2 eV for the cell shown
symmetry = No. 123

Cell: 5.111 5.111 4.389 Å, 90.00 90.00 90.00°
Atoms (fractional coordinates):
Ti 0.000 0.000 0.000
Cr 0.500 0.500 0.500
Te 0.000 0.500 0.500
Te 0.500 0.000 0.500
Ru 0.500 0.500 0.000



No. 2
VASP calculation (PBE-GGA) on a relaxed structure of Na2PbAu2.

Calculated values
magnetization = 0.000 μB/atom
total DFT energy (no corrections) = -28.3 eV for the cell shown
DFT formation energy = -0.249 eV/atom
symmetry = No. 127
polymorph energy (0 for the lowest one) = 24 meV per atom

Cell: 7.753 7.753 4.028 Å, 90.00 90.00 90.00°
Atoms (fractional coordinates):
Na 0.164 0.336 0.000
Na 0.336 0.836 0.000
Na 0.664 0.164 0.000
Na 0.836 0.664 0.000
Pb 0.000 0.000 0.500
Pb 0.500 0.500 0.500
Au 0.132 0.632 0.500
Au 0.368 0.132 0.500
Au 0.632 0.868 0.500
Au 0.868 0.368 0.500